No. 1
NdTaNi: optimized geometry, GGA-PBE.

M_tot	0.0	Bohr magnetons per cell
symmetry	P4/nmm (129)
E_form	-0.0290	eV per atom

a b c (Å): 3.9885 3.9885 8.0516
angles (deg): 90.00 90.00 90.00
Element x y z (fractional)
Ni  0.5000  0.0000  0.7190
Ni  0.0000  0.5000  0.2810
Nd  0.5000  0.0000  0.1604
Nd  0.0000  0.5000  0.8396
Ta  0.5000  0.5000  0.5000
Ta  0.0000  0.0000  0.5000


No. 2
Ba2ZrAu: optimized geometry, GGA-PBE.

M_tot	1.9	Bohr magnetons per cell
symmetry	P4/mmm (123)
E_form	0.1221	eV per atom
distance to the lowest polymorph of the same formula	0.1767	eV per atom

a b c (Å): 3.8187 3.8187 9.5833
angles (deg): 90.00 90.00 90.00
Element x y z (fractional)
Au  0.5000  0.5000  0.7500
Ba  0.0000  0.0000  0.9678
Ba  0.0000  0.0000  0.5322
Zr  0.5000  0.5000  0.2500


No. 3
PuZr2Tc: optimized geometry, GGA-PBE.

M_tot	5.2	Bohr magnetons per cell
symmetry	P4/mmm (123)
E_form	0.1106	eV per atom
distance to the lowest polymorph of the same formula	0.2217	eV per atom

a b c (Å): 3.3525 4.9056 4.9056
angles (deg): 90.00 90.00 90.00
Element x y z (fractional)
Tc  0.5000  0.0000  0.0000
Zr  0.0000  0.0000  0.5000
Zr  0.0000  0.5000  0.0000
Pu  0.5000  0.5000  0.5000


No. 4
Hg12Se3F5: optimized geometry, GGA-PBE.

M_tot	0.0	Bohr magnetons per cell
symmetry	Ia-3d (230)
uncorrected formation energy	-0.393	eV per atom

a b c (Å): 13.8208 13.8208 13.8208
angles (deg): 109.47 109.47 109.47
Element x y z (fractional)
Se  0.7500  0.3750  0.1250
Se  0.8750  0.7500  0.1250
Se  0.3750  0.7500  0.6250
Se  0.2500  0.1250  0.3750
Se  0.8750  0.1250  0.2500
Se  0.3750  0.6250  0.2500
Se  0.6250  0.3750  0.7500
Se  0.1250  0.8750  0.7500
Se  0.7500  0.8750  0.6250
Se  0.6250  0.2500  0.3750
Se  0.1250  0.2500  0.8750
Se  0.2500  0.6250  0.8750
F  0.1250  0.3750  0.2500
F  0.0000  0.5000  0.0000
F  0.0000  0.0000  0.0000
F  0.3750  0.2500  0.1250
F  0.5000  0.0000  0.5000
F  0.5000  0.5000  0.0000
F  0.1250  0.7500  0.3750
F  0.7500  0.1250  0.8750
F  0.7500  0.6250  0.3750
F  0.3750  0.1250  0.7500
F  0.6250  0.8750  0.2500
F  0.5000  0.5000  0.5000
F  0.5000  0.0000  0.0000
F  0.0000  0.0000  0.5000
F  0.2500  0.3750  0.6250
F  0.2500  0.8750  0.1250
F  0.0000  0.5000  0.5000
F  0.8750  0.2500  0.6250
F  0.6250  0.7500  0.8750
F  0.8750  0.6250  0.7500
Hg  0.7231  0.1134  0.0431
Hg  0.3200  0.5431  0.4297
Hg  0.9569  0.3866  0.2769
Hg  0.5431  0.2231  0.1134
Hg  0.6097  0.7231  0.6800
Hg  0.9569  0.5703  0.1800
Hg  0.3200  0.7769  0.3903
Hg  0.0703  0.8903  0.1134
Hg  0.5703  0.9569  0.6800
Hg  0.7231  0.6097  0.1800
Hg  0.7769  0.4569  0.3866
Hg  0.8200  0.9297  0.0431
Hg  0.1134  0.7231  0.5431
Hg  0.3866  0.4297  0.1097
Hg  0.1097  0.9297  0.3866
Hg  0.3903  0.1134  0.5703
Hg  0.1097  0.1800  0.2231
Hg  0.4569  0.6800  0.0703
Hg  0.8200  0.8903  0.2769
Hg  0.1134  0.3903  0.0703
Hg  0.3866  0.9569  0.7769
Hg  0.5703  0.6134  0.3903
Hg  0.9297  0.8200  0.5431
Hg  0.7769  0.3200  0.8903
Hg  0.4297  0.3866  0.6097
Hg  0.0703  0.1800  0.4569
Hg  0.2231  0.6800  0.1097
Hg  0.1800  0.1097  0.7231
Hg  0.6134  0.0431  0.2231
Hg  0.8866  0.6097  0.9297
Hg  0.5431  0.3200  0.9297
Hg  0.6097  0.8866  0.4297
Hg  0.8903  0.8200  0.7769
Hg  0.8903  0.0703  0.6134
Hg  0.8866  0.2769  0.4569
Hg  0.1800  0.0703  0.9569
Hg  0.6134  0.5703  0.8903
Hg  0.4297  0.0431  0.3200
Hg  0.2769  0.3903  0.8200
Hg  0.2231  0.5431  0.6134
Hg  0.9297  0.1097  0.8866
Hg  0.6800  0.2231  0.6097
Hg  0.4569  0.7769  0.8866
Hg  0.0431  0.4297  0.8200
Hg  0.3903  0.2769  0.3200
Hg  0.0431  0.6134  0.7231
Hg  0.6800  0.4569  0.5703
Hg  0.2769  0.8866  0.9569


No. 5
Pu2AlSb: optimized geometry, GGA-PBE.

M_tot	11.5	Bohr magnetons per cell
symmetry	P4/mmm (123)
distance to the lowest polymorph of the same formula	0.0755	eV per atom
uncorrected formation energy	-0.311	eV per atom

a b c (Å): 3.2970 3.2970 8.9056
angles (deg): 90.00 90.00 90.00
Element x y z (fractional)
Sb  0.5000  0.5000  0.0000
Al  0.5000  0.5000  0.5000
Pu  0.0000  0.0000  0.7432
Pu  0.0000  0.0000  0.2568


No. 6
CsNaSm2Cl8: optimized geometry, GGA-PBE.

M_tot	0.0	Bohr magnetons per cell
symmetry	P2/m (10)
uncorrected formation energy	-2.120	eV per atom

a b c (Å): 7.1624 6.9971 8.6039
angles (deg): 89.99 89.99 84.92
Element x y z (fractional)
Cs  0.0000  0.0000  0.5000
Na  0.0000  0.0000  0.0000
Sm  0.5000  0.5000  0.7585
Sm  0.5000  0.5000  0.2415
Cl  0.1989  0.7488  0.2135
Cl  0.6512  0.6977  0.9999
Cl  0.8011  0.2511  0.2134
Cl  0.8011  0.2512  0.7865
Cl  0.3488  0.3023  0.0001
Cl  0.1989  0.7489  0.7866
Cl  0.6342  0.6897  0.4999
Cl  0.3658  0.3103  0.5001


No. 7
InFe3Os: optimized geometry, GGA-PBE.

M_tot	8.4	Bohr magnetons per cell
symmetry	Pm-3m (221)
E_form	1.2528	eV per atom
distance to the lowest polymorph of the same formula	0.0000	eV per atom

a b c (Å): 4.6204 4.6204 4.6204
angles (deg): 90.00 90.00 90.00
Element x y z (fractional)
Os  0.0000  0.0000  0.0000
Fe  0.0000  0.5000  0.0000
Fe  0.0000  0.0000  0.5000
Fe  0.5000  0.0000  0.0000
In  0.5000  0.5000  0.5000


No. 8
SnRhSe2N: optimized geometry, GGA-PBE.

M_tot	0.0	Bohr magnetons per cell
symmetry	P4/mmm (123)
distance to the lowest polymorph of the same formula	0.0000	eV per atom
uncorrected formation energy	0.212	eV per atom

a b c (Å): 5.2245 5.2245 3.6870
angles (deg): 90.00 90.00 90.00
Element x y z (fractional)
Rh  0.0000  0.0000  0.0000
Sn  0.5000  0.5000  0.5000
Se  0.0000  0.5000  0.0000
Se  0.5000  0.0000  0.0000
N  0.0000  0.0000  0.5000